Entry from Alexandria: a relaxed structure of Ba2IBrF (PBE).

It has space group P4/mmm (No. 123), with a = 6.435 Å, b = 6.435 Å, c = 5.503 Å, α = 90.00°, β = 90.00° and γ = 90.00°. The asymmetric unit holds Ba at (0.000, 0.500, 0.000), I at (0.000, 0.000, 0.000), Br at (0.500, 0.500, 0.500) and F at (0.000, 0.000, 0.500).

As for the uncorrected formation energy: -1359 meV per atom. For the calculated total energy, the calculation gives -3.15 eV per atom. The value obtained for the spin magnetization is 0.00 μB/cell. The density of states at the Fermi level comes out at 2.667 states/eV per cell.

Entry from Alexandria: a relaxed structure of BaInBrF2 (PBE).

It has space group P2_1/m (No. 11), with a = 7.963 Å, b = 4.252 Å, c = 8.457 Å, α = 90.00°, β = 108.99° and γ = 90.00°. The asymmetric unit holds Ba at (0.133, 0.250, 0.230), In at (0.406, 0.250, 0.848), Br at (0.224, 0.750, 0.592), F at (0.064, 0.250, 0.901) and F at (0.338, 0.750, 0.228).

As for the uncorrected formation energy: -2496 meV per atom. For the calculated total energy, the calculation gives -4.51 eV per atom. The value obtained for the spin magnetization is 0.00 μB/cell. The density of states at the Fermi level comes out at 0.000 states/eV per cell.

Entry from Alexandria: a relaxed structure of KBaBrF2 (PBE).

It has space group P4/mmm (No. 123), with a = 5.039 Å, b = 5.039 Å, c = 6.657 Å, α = 90.00°, β = 90.00° and γ = 90.00°. The asymmetric unit holds K at (0.000, 0.000, 0.000), Ba at (0.500, 0.500, 0.500), Br at (0.500, 0.500, 0.000) and F at (0.000, 0.500, 0.500).

As for the uncorrected formation energy: -2803 meV per atom. For the calculated total energy, the calculation gives -4.49 eV per atom. The value obtained for the spin magnetization is 0.00 μB/cell. The density of states at the Fermi level comes out at 0.000 states/eV per cell.

Entry from Alexandria: a relaxed structure of BaLa2BrF (PBE).

It has space group P4/mmm (No. 123), with a = 4.963 Å, b = 4.963 Å, c = 7.008 Å, α = 90.00°, β = 90.00° and γ = 90.00°. The asymmetric unit holds Ba at (0.000, 0.000, 0.000), La at (0.000, 0.500, 0.500), Br at (0.500, 0.500, 0.000) and F at (0.500, 0.500, 0.500).

As for the uncorrected formation energy: -1313 meV per atom. For the calculated total energy, the calculation gives -4.38 eV per atom. The value obtained for the spin magnetization is 0.13 μB/cell. The density of states at the Fermi level comes out at 6.371 states/eV per cell.

Entry from Alexandria: a relaxed structure of BaMgBrF2 (PBE).

It has space group P4/mmm (No. 123), with a = 4.934 Å, b = 4.934 Å, c = 6.806 Å, α = 90.00°, β = 90.00° and γ = 90.00°. The asymmetric unit holds Ba at (0.000, 0.000, 0.000), Mg at (0.500, 0.500, 0.500), Br at (0.000, 0.000, 0.500) and F at (0.000, 0.500, 0.000).

As for the uncorrected formation energy: -2157 meV per atom. For the calculated total energy, the calculation gives -3.94 eV per atom. The value obtained for the spin magnetization is 0.68 μB/cell. The density of states at the Fermi level comes out at 1.046 states/eV per cell.